1.
KPbS2O8 | Alexandria | GGA-PBE | relaxed; formation energy without anion corrections = -1432.3 meV per atom
1.0
5.177 0.000 0.000
-2.589 4.484 0.000
0.000 0.000 8.630
K Pb S O
1 1 2 8
direct
0.000 0.000 0.000 K
0.000 0.000 0.500 Pb
0.667 0.333 0.258 S
0.333 0.667 0.742 S
0.333 0.667 0.913 O
0.386 0.318 0.315 O
0.682 0.068 0.315 O
0.667 0.333 0.087 O
0.318 0.932 0.685 O
0.614 0.682 0.685 O
0.068 0.386 0.685 O
0.932 0.614 0.315 O

2.
Bi3PdW | Alexandria | GGA-PBE | relaxed; E_form = 0.92 eV per atom; polymorph energy (0 for the lowest one) = 0 meV/atom
1.0
-1.831 -0.726 4.973
3.977 -3.445 0.961
3.073 4.027 1.719
Pd Bi W
1 3 1
direct
0.500 0.500 0.500 Pd
0.000 0.500 0.000 Bi
0.000 0.000 0.500 Bi
0.500 0.000 0.000 Bi
0.000 0.000 0.000 W

3.
U5Sb3 | Alexandria | GGA-PBE | relaxed; formation energy without anion corrections = -0.2 meV per atom
1.0
-5.895 -0.761 0.482
-1.788 -5.888 5.730
-3.226 5.652 6.353
U Sb
10 6
direct
0.525 0.698 0.843 U
0.778 0.698 0.157 U
0.618 0.198 0.657 U
0.184 0.198 0.343 U
0.642 0.108 0.169 U
0.250 0.108 0.831 U
0.061 0.608 0.331 U
0.331 0.608 0.669 U
0.023 0.954 0.500 U
0.773 0.454 0.000 U
0.977 0.410 0.645 Sb
0.613 0.410 0.355 Sb
0.872 0.910 0.855 Sb
0.218 0.910 0.145 Sb
0.551 0.898 0.500 Sb
0.301 0.398 0.000 Sb

4.
TiB2Pb | Alexandria | GGA-PBE | relaxed; E_form = 0.94 eV per atom
1.0
6.070 0.000 0.000
0.000 6.070 0.000
3.035 3.035 3.462
Pb B Ti
2 4 2
direct
0.000 0.000 0.000 Pb
0.750 0.250 0.500 Pb
0.605 0.125 0.250 B
0.145 0.625 0.250 B
0.375 0.395 0.750 B
0.875 0.855 0.750 B
0.500 0.500 0.000 Ti
0.250 0.750 0.500 Ti

5.
Ce2BeGe3Pt4 | Alexandria | GGA-PBE | relaxed; E_form = -0.88 eV per atom
1.0
-3.717 1.236 -1.712
-0.809 -4.036 -1.155
-4.602 -1.605 8.835
Ce Be Ge Pt
2 1 3 4
direct
0.500 0.000 0.260 Ce
0.000 0.500 0.740 Ce
0.500 0.500 0.500 Be
0.000 0.000 0.500 Ge
0.500 0.000 0.863 Ge
0.000 0.500 0.137 Ge
0.500 0.500 0.000 Pt
0.000 0.000 0.000 Pt
0.500 0.000 0.620 Pt
0.000 0.500 0.380 Pt

6.
CrSe3I | Alexandria | GGA-PBE | relaxed; polymorph energy (0 for the lowest one) = 0 meV/atom; formation energy without anion corrections = 253.3 meV per atom
1.0
-1.209 2.551 -3.903
-4.656 -0.878 0.868
-0.252 3.991 2.687
I Cr Se
1 1 3
direct
0.500 0.500 0.500 I
0.000 0.000 0.000 Cr
0.000 0.500 0.000 Se
0.000 0.000 0.500 Se
0.500 0.000 0.000 Se

Density of states at the Fermi level values, unit states/eV per atom, following the record order: 0.51, 0.59, 2.46, 0.41, 1.34, 1.37.
M_tot values, unit μB/cell, following the record order: 0.4, 0.0, 18.5, 0.0, 1.4, 0.0.
Raw total energy values, unit eV per atom, following the record order: -5.826, -5.038, -8.601, -5.304, -6.240, -4.072.